[1]
Material: ScTc2Au
Method: DFT, GGA-PBE
State: relaxed

a b c (Å): 9.4764 9.4764 9.4764
angles (deg): 17.53 17.53 17.53
With the nearest neighbours (Å) after each atom.
Atoms (fractional coordinates):
Au 0.2500 0.2500 0.2500  6 Tc 2.86, 6 Au 2.89
Sc 0.7500 0.7500 0.7500  6 Tc 2.87, 6 Sc 2.89
Tc 0.9997 0.9997 0.9997  3 Au 2.86, 3 Sc 2.87, 6 Tc 2.89
Tc 0.5003 0.5003 0.5003  3 Au 2.86, 3 Sc 2.87, 6 Tc 2.89

## Properties
Energy of formation from the pure elements (eV per atom): 0.344
Energy above the lowest structure with this stoichiometry (eV/atom): 0.5430
Calculated total energy (eV per atom): -7.241

[2]
Material: ScTc2Au
Method: DFT, GGA-PBE
State: relaxed

a b c (Å): 5.0344 5.4590 2.8025
angles (deg): 78.36 83.16 115.50
With the nearest neighbours (Å) after each atom.
Atoms (fractional coordinates):
Au 0.0000 0.5000 0.5000  4 Sc 2.73-3.02, 2 Au 2.80, 4 Tc 2.81
Sc 0.5000 0.5000 0.0000  4 Au 2.73-3.02, 2 Sc 2.80, 4 Tc 2.81
Tc 0.0000 0.0000 0.0000  6 Tc 2.73-3.02, 2 Sc 2.81, 2 Au 2.81
Tc 0.5000 0.0000 0.5000  6 Tc 2.73-3.02, 2 Au 2.81, 2 Sc 2.81

## Properties
Energy of formation from the pure elements (eV per atom): 0.066
Energy above the lowest structure with this stoichiometry (eV/atom): 0.2650
Calculated total energy (eV per atom): -7.519

[3]
Material: ScTcAu
Method: DFT, GGA-PBE
State: relaxed

a b c (Å): 4.4226 4.4226 4.4226
angles (deg): 60.00 60.00 60.00
With the nearest neighbours (Å) after each atom.
Atoms (fractional coordinates):
Au 0.5000 0.5000 0.5000  4 Sc 2.71
Sc 0.7500 0.7500 0.7500  4 Tc 2.71, 4 Au 2.71
Tc 0.0000 0.0000 0.0000  4 Sc 2.71

## Properties
Energy of formation from the pure elements (eV per atom): 0.561
Energy above the lowest structure with this stoichiometry (eV/atom): 0.6221
Calculated total energy (eV per atom): -6.097

[4]
Material: ScTc2Au
Method: DFT, GGA-PBE
State: relaxed

a b c (Å): 4.9981 4.9981 2.8631
angles (deg): 90.00 90.00 112.85
With the nearest neighbours (Å) after each atom.
Atoms (fractional coordinates):
Au 0.5000 0.0000 0.5000  2 Sc 2.76, 2 Au 2.86, 8 Tc 2.88
Sc 0.0000 0.5000 0.5000  2 Au 2.76, 2 Sc 2.86, 8 Tc 2.88
Tc 0.0000 0.0000 0.0000  4 Tc 2.76-2.86, 4 Au 2.88, 4 Sc 2.88
Tc 0.5000 0.5000 0.0000  4 Tc 2.76-2.86, 4 Sc 2.88, 4 Au 2.88

## Properties
Energy of formation from the pure elements (eV per atom): 0.117
Energy above the lowest structure with this stoichiometry (eV/atom): 0.3158
Calculated total energy (eV per atom): -7.468

[5]
Material: ScTc2Au
Method: DFT, GGA-PBE
State: relaxed

a b c (Å): 3.8302 3.9377 4.3505
angles (deg): 90.00 90.00 90.00
With the nearest neighbours (Å) after each atom.
Atoms (fractional coordinates):
Au 0.5000 0.0000 0.5000  4 Sc 2.75, 8 Tc 2.90-2.93
Sc 0.0000 0.5000 0.5000  4 Au 2.75, 8 Tc 2.90-2.93
Tc 0.0000 0.0000 0.0000  4 Tc 2.75, 4 Au 2.90, 4 Sc 2.93
Tc 0.5000 0.5000 0.0000  4 Tc 2.75, 4 Sc 2.90, 4 Au 2.93

## Properties
Energy of formation from the pure elements (eV per atom): -0.072
Energy above the lowest structure with this stoichiometry (eV/atom): 0.1268
Calculated total energy (eV per atom): -7.657

[6]
Material: ScTcAu
Method: DFT, GGA-PBE
State: relaxed

a b c (Å): 5.2646 5.2646 5.2646
angles (deg): 142.60 142.66 53.88
With the nearest neighbours (Å) after each atom.
Atoms (fractional coordinates):
Au 0.0024 0.0024 0.0000  5 Tc 2.86-3.12, 5 Sc 2.90-3.05
Sc 0.3275 0.3275 0.0000  4 Tc 2.81, 5 Au 2.90-3.05
Tc 0.6701 0.6701 0.0000  4 Sc 2.81, 5 Au 2.86-3.12

## Properties
Energy of formation from the pure elements (eV per atom): -0.059
Energy above the lowest structure with this stoichiometry (eV/atom): 0.0019
Calculated total energy (eV per atom): -6.717

Please write out number 1 again, unchanged.
Material: ScTc2Au
Method: DFT, GGA-PBE
State: relaxed

a b c (Å): 9.4764 9.4764 9.4764
angles (deg): 17.53 17.53 17.53
With the nearest neighbours (Å) after each atom.
Atoms (fractional coordinates):
Au 0.2500 0.2500 0.2500  6 Tc 2.86, 6 Au 2.89
Sc 0.7500 0.7500 0.7500  6 Tc 2.87, 6 Sc 2.89
Tc 0.9997 0.9997 0.9997  3 Au 2.86, 3 Sc 2.87, 6 Tc 2.89
Tc 0.5003 0.5003 0.5003  3 Au 2.86, 3 Sc 2.87, 6 Tc 2.89

## Properties
Energy of formation from the pure elements (eV per atom): 0.344
Energy above the lowest structure with this stoichiometry (eV/atom): 0.5430
Calculated total energy (eV per atom): -7.241

Q: Look up the energy above the lowest structure with this stoichiometry of the third one.
A: 0.6221 eV/atom